A) GGA-PBEsol KLi2Cr, relaxed; size of the total moment = 4.89 μB per cell
1.0
3.5392 0.1417 0.0000
-0.1440 3.5391 0.0000
0.0000 0.0000 8.6637
Cr K Li
1 1 2
Cartesian
0.0000 0.0000 3.6535 Cr
1.6976 1.8404 6.3318 K
0.0000 0.0000 0.7049 Li
1.6976 1.8404 2.3053 Li



B) GGA-PBEsol KLi2Cr, relaxed; size of the total moment = 5.02 μB per cell
1.0
5.4119 0.0000 0.0000
2.7060 4.6869 0.0000
2.7060 1.5623 4.4188
Cr K Li
1 1 2
Cartesian
5.4119 3.1246 2.2094 Cr
2.7060 1.5623 1.1047 K
0.0000 0.0000 0.0000 Li
8.1179 4.6869 3.3141 Li



The least stable of them is B).